1.
A plane-wave DFT calculation with GGA-PBE was carried out for an optimized crystal structure of ErCd2Sn2.

Results
N(E_F) ... 0.463 states/eV/atom
Uncorrected energy ... -3.212 eV/atom

a = 4.4157 Å, b = 24.4722 Å, c = 4.4562 Å
α = 90.00°, β = 90.00°, γ = 90.00°
Space group Cmcm (No. 63)
Inequivalent atoms, fractional coordinates:
Er1 0.0000 0.1508 0.2500
Cd1 0.0000 0.0441 0.7500
Cd2 0.0000 0.4540 0.7500
Sn1 0.0000 0.2499 0.7500
Sn2 0.0000 0.3659 0.2500

***

2.
A plane-wave DFT calculation with GGA-PBE was carried out for an optimized crystal structure of IrRu2Se2.

Results
N(E_F) ... 0.938 states/eV/atom
Formation energy without anion corrections ... 0.6770 eV/atom
Relative energy among the computed polymorphs ... 185 meV/atom

a = 3.8545 Å, b = 3.8545 Å, c = 11.3048 Å
α = 90.00°, β = 90.00°, γ = 90.00°
Space group I4/mmm (No. 139)
Inequivalent atoms, fractional coordinates:
Ir1 0.0000 0.0000 0.0000
Ru1 0.0000 0.0000 0.3901
Se1 0.0000 0.5000 0.2500

***

| no. | size of the total moment (Bohr magnetons per cell) |
| --- | --- |
| 1 | 0.0 |
| 2 | 0.0 |